This record from Alexandria describes a relaxed HoZrTl2S4 crystal. The functional is GGA-PBE.

DOS at the Fermi energy: 0.467 states/eV per atom
E: -0.205 Ha/atom
Formation energy without anion corrections: -1.279 eV per atom
Spin magnetization: 0.000 μB/f.u.
V: 25.502 A^3/atom

a b c (Å): 6.653 3.783 8.320
angles (deg): 90.00 103.01 90.00
Space group P2/m (No. 10)
Asymmetric unit:
Ho 0.000 0.000 0.000 (multiplicity 1)
Zr 0.500 0.500 0.000 (multiplicity 1)
Tl 0.000 0.500 0.500 (multiplicity 1)
Tl 0.500 0.000 0.500 (multiplicity 1)
S 0.236 0.500 0.187 (multiplicity 2)
S 0.292 0.000 0.817 (multiplicity 2)

This record from Alexandria describes a relaxed Ca2C crystal. The functional is GGA-PBE.

DOS at the Fermi energy: 0.002 states/eV per atom
E: -0.148 Ha/atom
Energy above the lowest structure with this stoichiometry: 353 meV/atom
Spin magnetization: 0.000 μB/f.u.
V: 21.186 A^3/atom

a b c (Å): 4.588 4.588 6.040
angles (deg): 90.00 90.00 90.00
Space group P4/nmm (No. 129, origin choice 2)
Asymmetric unit:
Ca 0.250 0.250 0.091 (multiplicity 2)
Ca 0.250 0.750 0.500 (multiplicity 2)
C 0.250 0.250 0.698 (multiplicity 2)

This record from Alexandria describes a relaxed La2ZrAu crystal. The functional is GGA-PBE.

DOS at the Fermi energy: 1.111 states/eV per atom
E: -0.203 Ha/atom
Energy above the lowest structure with this stoichiometry: 163 meV/atom
Spin magnetization: 0.000 μB/f.u.
V: 25.678 A^3/atom

a b c (Å): 3.499 5.381 5.455
angles (deg): 90.00 90.00 90.00
Space group Pmmm (No. 47)
Asymmetric unit:
La 0.000 0.000 0.000 (multiplicity 1)
La 0.500 0.000 0.500 (multiplicity 1)
Zr 0.000 0.500 0.500 (multiplicity 1)
Au 0.500 0.500 0.000 (multiplicity 1)

This record from Alexandria describes a relaxed MgFe2Ag crystal. The functional is GGA-PBE.

DOS at the Fermi energy: 0.499 states/eV per atom
E: -0.191 Ha/atom
Spin magnetization: 4.973 μB/f.u.
V: 15.183 A^3/atom

a b c (Å): 3.024 3.024 6.640
angles (deg): 90.00 90.00 90.00
Space group P4mm (No. 99)
Asymmetric unit:
Mg 0.000 0.000 0.000 (multiplicity 1)
Fe 0.000 0.000 0.567 (multiplicity 1)
Fe 0.500 0.500 0.733 (multiplicity 1)
Ag 0.500 0.500 0.291 (multiplicity 1)